1.
This record from Alexandria via LeMat-Bulk describes KNbCu3 at its PBEsol-relaxed geometry. The functional is meta-GGA SCAN. Values from VASP.

Structure (Quantum ESPRESSO input):
```
&SYSTEM
  ibrav = 0, nat = 5, ntyp = 3
/
ATOMIC_SPECIES
K 39.10 K.upf
Nb 92.91 Nb.upf
Cu 63.55 Cu.upf
CELL_PARAMETERS angstrom
4.5761 0.0000 0.0000
0.0000 4.5761 0.0000
0.0000 0.0000 4.5761
ATOMIC_POSITIONS angstrom
K 0.0000 0.0000 0.0000
Nb 2.2881 2.2881 2.2881
Cu 0.0000 0.0000 2.2881
Cu 0.0000 2.2881 0.0000
Cu 2.2881 0.0000 0.0000
```

Computed properties:
Its space group is Pm-3m (221). Its distance to the lowest polymorph of the same formula is 20.55 kcal/mol of atoms. The value obtained for the formation energy from the elements is 1.99 eV per atom.

***

2.
This record from Alexandria via LeMat-Bulk describes KNbCu3 at its PBEsol-relaxed geometry. The functional is meta-GGA SCAN. Values from VASP.

Structure (Quantum ESPRESSO input):
```
&SYSTEM
  ibrav = 0, nat = 5, ntyp = 3
/
ATOMIC_SPECIES
K 39.10 K.upf
Nb 92.91 Nb.upf
Cu 63.55 Cu.upf
CELL_PARAMETERS angstrom
4.8864 0.0000 0.0000
0.0000 4.8864 0.0000
0.0000 0.0000 4.8864
ATOMIC_POSITIONS angstrom
K 0.0000 0.0000 0.0000
Nb 2.4432 2.4432 2.4432
Cu 0.0000 2.4432 2.4432
Cu 2.4432 0.0000 2.4432
Cu 2.4432 2.4432 0.0000
```

Computed properties:
Its space group is Pm-3m (221). Its distance to the lowest polymorph of the same formula is 0.00 kcal/mol of atoms. The value obtained for the formation energy from the elements is 1.10 eV per atom.

***

3.
This record from Alexandria via LeMat-Bulk describes KNb3CuO9 at its PBEsol-relaxed geometry. The functional is meta-GGA SCAN. Values from VASP.

Structure (Quantum ESPRESSO input):
```
&SYSTEM
  ibrav = 0, nat = 56, ntyp = 4
/
ATOMIC_SPECIES
K 39.10 K.upf
Nb 92.91 Nb.upf
Cu 63.55 Cu.upf
O 16.00 O.upf
CELL_PARAMETERS angstrom
8.8662 0.0000 0.0000
0.0000 10.1918 0.0000
0.0000 0.0000 7.7054
ATOMIC_POSITIONS angstrom
K 0.7502 2.4436 0.0000
K 0.7502 2.6523 3.8527
K 8.1160 7.5395 3.8527
K 8.1160 7.7483 0.0000
Nb 1.7453 5.7291 5.8719
Nb 1.7453 9.5586 2.0192
Nb 1.8127 5.7225 1.9547
Nb 1.8127 9.5653 5.8074
Nb 3.8173 2.5291 5.7834
Nb 3.8173 2.5668 1.9307
Nb 5.0489 7.6250 1.9307
Nb 5.0489 7.6627 5.7834
Nb 7.0535 0.6266 5.8074
Nb 7.0535 4.4694 1.9547
Nb 7.1209 0.6332 2.0192
Nb 7.1209 4.4627 5.8719
Cu 4.4331 0.0000 3.7990
Cu 4.4331 0.0000 7.7012
Cu 4.4331 5.0959 3.8485
Cu 4.4331 5.0959 7.6517
O 0.0000 0.0000 1.3635
O 0.0000 0.0000 6.2472
O 0.0000 5.0959 2.3945
O 0.0000 5.0959 5.2162
O 1.2765 5.6930 7.6697
O 1.2765 9.5948 3.8170
O 1.3139 7.6310 1.8670
O 1.3139 7.6567 5.7198
O 2.4225 1.2227 5.4092
O 2.4165 1.2559 2.1584
O 2.4165 3.8400 6.0111
O 2.4225 3.8732 1.5565
O 2.4890 5.6114 3.7949
O 2.4890 9.6764 7.6476
O 3.6936 6.2407 6.2717
O 3.6957 6.2561 1.3073
O 3.6957 9.0317 5.1601
O 3.6936 9.0470 2.4190
O 3.9343 1.8671 7.6557
O 3.9343 3.2288 3.8029
O 4.9319 6.9630 3.8029
O 4.9319 8.3247 7.6557
O 5.1726 1.1448 2.4190
O 5.1705 1.1601 5.1601
O 5.1705 3.9358 1.3073
O 5.1726 3.9511 6.2717
O 6.3772 0.5154 7.6476
O 6.3772 4.5805 3.7949
O 6.4437 6.3186 1.5565
O 6.4498 6.3519 6.0111
O 6.4498 8.9359 2.1584
O 6.4437 8.9692 5.4092
O 7.5524 2.5351 5.7198
O 7.5524 2.5608 1.8670
O 7.5897 0.5970 3.8170
O 7.5897 4.4989 7.6697
```

Computed properties:
Its space group is Pnc2 (30). The calculation puts the formation energy (no corrections) at -34.19 eV/f.u.

***

4.
This record from Alexandria via LeMat-Bulk describes K2NbCuSe4 at its PBEsol-relaxed geometry. The functional is meta-GGA SCAN. Values from VASP.

Structure (Quantum ESPRESSO input):
```
&SYSTEM
  ibrav = 0, nat = 16, ntyp = 4
/
ATOMIC_SPECIES
K 39.10 K.upf
Nb 92.91 Nb.upf
Cu 63.55 Cu.upf
Se 78.96 Se.upf
CELL_PARAMETERS angstrom
0.0000 6.6627 11.8711
2.8434 0.0000 11.8711
2.8434 6.6627 0.0000
ATOMIC_POSITIONS angstrom
K 2.1326 4.9970 1.3036
K 3.5543 8.3284 7.2392
K 2.1326 4.9970 16.5031
K 3.5543 8.3284 22.4387
Nb 0.7109 1.6657 2.9678
Nb 4.9760 11.6597 20.7745
Cu 2.1326 4.9970 8.9033
Cu 3.5543 8.3284 14.8389
Se 2.1256 3.0602 4.3427
Se 3.5613 6.3916 10.2783
Se 2.1396 6.9338 4.3427
Se 2.1396 3.0602 13.4639
Se 3.5473 10.2652 10.2783
Se 3.5473 6.3916 19.3995
Se 2.1256 6.9338 13.4639
Se 3.5613 10.2652 19.3995
```

Computed properties:
Its space group is Fddd (70). The calculation puts the formation energy (no corrections) at -8.54 eV/f.u.